DFT (PBE) results for an optimized crystal structure of Zr3Au4.

Unit cell a=5.648 b=5.648 c=5.206 alpha=90.00 beta=90.00 gamma=120.00
Fractional positions:
1 Zr 0.000 0.500 0.000
2 Zr 0.500 0.500 0.000
3 Zr 0.500 0.000 0.000
4 Au 0.667 0.333 0.500
5 Au 0.000 0.000 0.254
6 Au 0.333 0.667 0.500
7 Au 0.000 0.000 0.746

Summary:
V = 20.547 Å³ per atom
Total energy = -5.653 eV per atom
Energy of formation = -0.117 eV per atom
Energy above the lowest structure with this stoichiometry = 441.3 meV/atom